Entry from Alexandria via LeMat-Bulk: a relaxed SmPa5P6 crystal (PBE).

Output
**Energy of formation from the pure elements**: -1.36 eV per atom

The structure in POSCAR format:
```
SmPa5P6
1.0
0.592 3.674 5.815
6.684 0.893 1.491
3.380 5.500 -2.451
Pa P Sm
5 6 1
Direct
0.000 0.333 0.334 Pa
0.500 0.164 0.672 Pa
0.000 0.667 0.666 Pa
0.500 0.500 0.000 Pa
0.500 0.836 0.328 Pa
0.251 0.254 0.000 P
0.747 0.422 0.662 P
0.747 0.085 0.338 P
0.749 0.746 0.000 P
0.253 0.915 0.662 P
0.253 0.578 0.338 P
0.000 0.000 0.000 Sm
```



Entry from Alexandria via LeMat-Bulk: a relaxed Pm3ErHg crystal (PBE).

Output
**Energy of formation from the pure elements**: -0.08 eV per atom

The structure in POSCAR format:
```
Pm3ErHg
1.0
3.550 0.000 -0.628
-0.238 8.168 -1.345
0.137 -1.283 11.123
Pm Er Hg
6 2 2
Direct
0.620 0.044 0.240 Pm
0.825 0.549 0.651 Pm
0.175 0.451 0.349 Pm
0.380 0.956 0.760 Pm
0.987 0.755 0.973 Pm
0.013 0.245 0.027 Pm
0.735 0.822 0.470 Er
0.265 0.178 0.530 Er
0.417 0.387 0.834 Hg
0.583 0.613 0.166 Hg
```



Entry from Alexandria via LeMat-Bulk: a relaxed SmYSiS crystal (PBE).

Output
**Formation energy from raw total energies**: -132.7 kJ per mole of atoms

The structure in POSCAR format:
```
SmYSiS
1.0
4.066 0.000 0.000
2.033 3.521 0.000
2.033 1.174 6.734
Si Sm Y S
1 1 1 1
Direct
0.942 0.942 0.173 Si
0.694 0.694 0.919 Sm
0.194 0.194 0.417 Y
0.446 0.446 0.662 S
```



Entry from Alexandria via LeMat-Bulk: a relaxed Cs9RbAu2 crystal (PBE).

Output
**Energy of formation from the pure elements**: -0.07 eV per atom

The structure in POSCAR format:
```
Cs9RbAu2
1.0
6.046 0.000 0.000
0.000 13.712 0.000
0.000 -6.856 11.875
Cs Au Rb
9 2 1
Direct
0.000 0.500 0.000 Cs
0.000 0.500 0.500 Cs
0.500 0.784 0.567 Cs
0.500 0.216 0.433 Cs
0.000 0.000 0.500 Cs
0.500 0.784 0.216 Cs
0.500 0.216 0.784 Cs
0.500 0.433 0.216 Cs
0.500 0.567 0.784 Cs
0.000 0.333 0.667 Au
0.000 0.667 0.333 Au
0.000 0.000 0.000 Rb
```



Entry from Alexandria via LeMat-Bulk: a relaxed Zr2NiSb crystal (PBE).

Output
**Formation energy from raw total energies**: -35.2 kJ per mole of atoms

The structure in POSCAR format:
```
Zr2NiSb
1.0
-3.179 -1.809 -0.255
1.820 -3.084 -0.817
1.955 -4.129 4.913
Ni Sb Zr
1 1 2
Direct
0.500 0.250 0.250 Ni
0.500 0.750 0.750 Sb
0.000 0.010 0.012 Zr
0.000 0.490 0.488 Zr
```



Entry from Alexandria via LeMat-Bulk: a relaxed NaCa2MgRu crystal (PBE).

Output
**Energy of formation from the pure elements**: 0.16 eV per atom

The structure in POSCAR format:
```
NaCa2MgRu
1.0
5.499 0.000 0.000
0.000 5.499 0.000
0.000 0.000 5.157
Ca Mg Ru Na
2 1 1 1
Direct
0.500 0.000 0.000 Ca
0.000 0.500 0.000 Ca
0.000 0.000 0.500 Mg
0.000 0.000 0.000 Ru
0.500 0.500 0.500 Na
```



Entry from Alexandria via LeMat-Bulk: a relaxed YRu3 crystal (PBE).

Output
**Energy of formation from the pure elements**: 0.43 eV per atom

The structure in POSCAR format:
```
YRu3
1.0
5.156 0.000 0.000
0.000 5.156 0.000
0.000 0.000 5.156
Ru Y
6 2
Direct
0.000 0.250 0.500 Ru
0.000 0.750 0.500 Ru
0.500 0.000 0.250 Ru
0.250 0.500 0.000 Ru
0.500 0.000 0.750 Ru
0.750 0.500 0.000 Ru
0.500 0.500 0.500 Y
0.000 0.000 0.000 Y
```



Entry from Alexandria via LeMat-Bulk: a relaxed Co2SnHgI crystal (PBE).

Output
**Formation energy from raw total energies**: 97.7 kJ per mole of atoms

The structure in POSCAR format:
```
Co2SnHgI
1.0
-1.512 -4.372 1.902
3.927 -2.983 -3.734
3.556 0.294 3.504
Co Hg I Sn
2 1 1 1
Direct
0.000 0.000 0.500 Co
0.500 0.000 0.000 Co
0.500 0.500 0.500 Hg
0.000 0.500 0.000 I
0.000 0.000 0.000 Sn
```



Entry from Alexandria via LeMat-Bulk: a relaxed NdHo4ErSe8 crystal (PBE).

Output
**Formation energy from raw total energies**: -164.4 kJ per mole of atoms

The structure in POSCAR format:
```
NdHo4ErSe8
1.0
-6.814 -2.288 4.404
-4.551 -6.665 -2.436
0.114 -7.078 4.568
Se Nd Ho Er
8 1 4 1
Direct
0.758 0.228 0.256 Se
0.758 0.758 0.256 Se
0.757 0.757 0.730 Se
0.238 0.238 0.740 Se
0.238 0.784 0.740 Se
0.784 0.238 0.740 Se
0.228 0.758 0.256 Se
0.239 0.239 0.283 Se
0.375 0.375 0.875 Nd
0.503 0.999 0.499 Ho
0.999 0.999 0.499 Ho
0.999 0.503 0.499 Ho
0.625 0.625 0.126 Ho
0.999 0.999 0.002 Er
```



Entry from Alexandria via LeMat-Bulk: a relaxed CePuPdAu crystal (PBE).

Output
**Energy of formation from the pure elements**: -0.63 eV per atom

The structure in POSCAR format:
```
CePuPdAu
1.0
-1.044 4.686 -0.806
-3.565 2.166 2.509
1.079 3.348 3.365
Ce Pd Pu Au
1 1 1 1
Direct
0.000 0.000 0.000 Ce
0.250 0.250 0.250 Pd
0.750 0.750 0.750 Pu
0.500 0.500 0.500 Au
```



Entry from Alexandria via LeMat-Bulk: a relaxed Li3MoIr crystal (PBE).

Output
**Energy of formation from the pure elements**: 1.27 eV per atom

The structure in POSCAR format:
```
Li3MoIr
1.0
4.319 0.000 0.000
0.000 4.319 0.000
0.000 0.000 4.319
Li Mo Ir
3 1 1
Direct
0.000 0.500 0.000 Li
0.500 0.000 0.000 Li
0.000 0.000 0.500 Li
0.500 0.500 0.500 Mo
0.000 0.000 0.000 Ir
```



Entry from Alexandria via LeMat-Bulk: a relaxed NaNbIN2 crystal (PBE).

Output
**Formation energy from raw total energies**: -3.4 kJ per mole of atoms

The structure in POSCAR format:
```
NaNbIN2
1.0
-0.020 -1.484 -3.830
3.062 -2.558 0.976
-3.963 -4.127 1.620
Na N I Nb
1 2 1 1
Direct
0.500 0.500 0.500 Na
0.000 0.500 0.000 N
0.500 0.000 0.000 N
0.000 0.000 0.500 I
0.000 0.000 0.000 Nb
```



Number 1: calculated density 9.214 g cm⁻³. Number 2: calculated density 8.412 g cm⁻³. Number 3: calculated density 5.158 g cm⁻³. Number 4: calculated density 2.827 g cm⁻³. Number 5: calculated density 7.693 g cm⁻³. Number 6: calculated density 2.434 g cm⁻³. Number 7: calculated density 9.502 g cm⁻³. Number 8: calculated density 6.054 g cm⁻³. Number 9: calculated density 6.289 g cm⁻³. Number 10: calculated density 13.995 g cm⁻³. Number 11: calculated density 6.370 g cm⁻³. Number 12: calculated density 4.482 g cm⁻³.